The following is a DFT calculation (meta-GGA SCAN) of a PBEsol-optimized structure of LiCeMo2O8.

## Properties
Its total energy is -16.46 eV/atom. As for the calculated volume: 150.0 Å³/cell. The space group is I-4, No. 82.

Cell lengths 6.6620, 6.6620, 6.6620 Å; angles 134.11, 134.11, 66.92 degrees
With the nearest neighbours (Å) after each atom.
Fractional positions:
Li (0.0000, 0.0000, 0.0000)  8 O 2.40-2.44
Ce (0.2500, 0.7500, 0.5000)  8 O 2.39-2.42
Mo (0.5000, 0.5000, 0.0000)  4 O 1.78
Mo (0.7500, 0.2500, 0.5000)  4 O 1.79
O (0.2546, 0.6507, 0.0819)  1 Mo 1.78
O (0.3493, 0.4312, 0.6039)  1 Mo 1.78
O (0.4191, 0.0078, 0.0980)  1 Mo 1.79
O (0.5688, 0.1727, 0.9181)  1 Mo 1.78
O (0.6789, 0.5809, 0.5887)  1 Mo 1.79
O (0.8273, 0.7454, 0.3961)  1 Mo 1.78
O (0.9098, 0.3211, 0.9020)  1 Mo 1.79
O (0.9922, 0.0902, 0.4113)  1 Mo 1.79



The following is a DFT calculation (meta-GGA SCAN) of a PBEsol-optimized structure of Li2CeN2.

## Properties
Its total energy is -14.75 eV/atom. As for the calculated volume: 59.1 Å³/cell. The space group is P-3m1, No. 164.

Cell lengths 3.5578, 3.5578, 5.3916 Å; angles 90.00, 90.00, 120.00 degrees
With the nearest neighbours (Å) after each atom.
Fractional positions:
Li (0.3333, 0.6667, 0.1056)  4 N 2.05-2.25
Li (0.6667, 0.3333, 0.8944)  4 N 2.05-2.25
Ce (0.0000, 0.0000, 0.5000)  6 N 2.39
N (0.3333, 0.6667, 0.7254)  4 Li 2.05-2.25
N (0.6667, 0.3333, 0.2746)  4 Li 2.05-2.25



The following is a DFT calculation (meta-GGA SCAN) of a PBEsol-optimized structure of LiCeO3.

## Properties
Its total energy is -15.52 eV/atom. As for the calculated volume: 47.5 Å³/cell. The space group is Pm-3m, No. 221.

Cell lengths 3.6217, 3.6217, 3.6217 Å; angles 90.00, 90.00, 90.00 degrees
With the nearest neighbours (Å) after each atom.
Fractional positions:
Li (0.0000, 0.0000, 0.0000)  6 O 1.81
Ce (0.5000, 0.5000, 0.5000)  12 O 2.56
O (0.0000, 0.0000, 0.5000)  2 Li 1.81
O (0.0000, 0.5000, 0.0000)  2 Li 1.81
O (0.5000, 0.0000, 0.0000)  2 Li 1.81



The following is a DFT calculation (meta-GGA SCAN) of a PBEsol-optimized structure of LiCeW2O8.

## Properties
Its total energy is -22.35 eV/atom. As for the calculated volume: 305.9 Å³/cell. The space group is P-1, No. 2.

Cell lengths 7.0226, 7.3551, 7.4269 Å; angles 114.26, 115.89, 90.71 degrees
With the nearest neighbours (Å) after each atom.
Fractional positions:
Li (0.2334, 0.3321, 0.4866)  3 O 1.93-2.05
Li (0.7666, 0.6679, 0.5134)  3 O 1.93-2.05
Ce (0.3200, 0.7101, 0.0386)  8 O 2.36-2.53
Ce (0.6800, 0.2899, 0.9614)  8 O 2.36-2.53
W (0.1493, 0.1015, 0.7868)  4 O 1.77-1.95
W (0.2426, 0.7058, 0.4679)  3 O 1.80-1.83
W (0.7574, 0.2942, 0.5321)  3 O 1.80-1.83
W (0.8507, 0.8985, 0.2132)  4 O 1.77-1.95
O (0.0178, 0.1717, 0.4922)  1 Li 1.93, 2 W 2.03-2.13
O (0.0527, 0.4587, 0.2510)  1 W 1.83
O (0.1153, 0.8222, 0.2368)  2 W 1.90-2.09
O (0.2082, 0.0049, 0.9830)  1 W 1.77
O (0.3188, 0.6413, 0.6973)  1 W 1.81
O (0.3237, 0.3619, 0.9404)  1 W 1.84
O (0.3688, 0.0110, 0.6979)  2 W 1.95-2.05
O (0.4656, 0.6916, 0.4067)  1 W 1.80, 1 Li 1.95
O (0.5344, 0.3084, 0.5933)  1 W 1.80, 1 Li 1.95
O (0.6312, 0.9890, 0.3021)  2 W 1.95-2.05
O (0.6763, 0.6381, 0.0596)  1 W 1.84
O (0.6812, 0.3587, 0.3027)  1 W 1.81
O (0.7918, 0.9951, 0.0170)  1 W 1.77
O (0.8847, 0.1778, 0.7632)  2 W 1.90-2.09
O (0.9473, 0.5413, 0.7490)  1 W 1.83
O (0.9822, 0.8283, 0.5078)  1 Li 1.93, 2 W 2.03-2.13



The following is a DFT calculation (meta-GGA SCAN) of a PBEsol-optimized structure of Li2CeP2.

## Properties
As for the calculated volume: 96.2 Å³/cell. The calculated formation energy is -1127.9 meV per atom. The space group is P-3m1, No. 164.

Cell lengths 4.1159, 4.1159, 6.5548 Å; angles 90.00, 90.00, 120.00 degrees
With the nearest neighbours (Å) after each atom.
Fractional positions:
Li (0.3333, 0.6667, 0.1230)  4 P 2.57-2.58, 3 Li 2.87
Li (0.6667, 0.3333, 0.8770)  4 P 2.57-2.58, 3 Li 2.87
Ce (0.0000, 0.0000, 0.5000)  6 P 2.81
P (0.3333, 0.6667, 0.7297)  4 Li 2.57-2.58, 3 Ce 2.81
P (0.6667, 0.3333, 0.2703)  4 Li 2.57-2.58, 3 Ce 2.81



The following is a DFT calculation (meta-GGA SCAN) of a PBEsol-optimized structure of Li3CeSb2.

## Properties
Its total energy is -21.93 eV/atom. As for the calculated volume: 128.8 Å³/cell. The space group is P-3m1, No. 164.

Cell lengths 4.5345, 4.5345, 7.2305 Å; angles 90.00, 90.00, 120.00 degrees
With the nearest neighbours (Å) after each atom.
Fractional positions:
Li (0.0000, 0.0000, 0.0000)  6 Li 2.83
Li (0.3333, 0.6667, 0.1484)  4 Sb 2.71-2.86, 3 Li 2.83
Li (0.6667, 0.3333, 0.8516)  4 Sb 2.71-2.86, 3 Li 2.83
Ce (0.0000, 0.0000, 0.5000)  6 Sb 3.19
Sb (0.3333, 0.6667, 0.7526)  4 Li 2.71-2.86
Sb (0.6667, 0.3333, 0.2474)  4 Li 2.71-2.86



The following is a DFT calculation (meta-GGA SCAN) of a PBEsol-optimized structure of Li2Ce2Si3.

## Properties
Its total energy is -18.29 eV/atom. As for the calculated volume: 261.1 Å³/cell. The space group is Cmcm, No. 63.

Cell lengths 9.3192, 9.3192, 6.6325 Å; angles 90.00, 90.00, 153.04 degrees
With the nearest neighbours (Å) after each atom.
Fractional positions:
Li (0.1889, 0.8111, 0.5611)  1 Li 2.51, 4 Si 2.51-2.64
Li (0.1889, 0.8111, 0.9389)  1 Li 2.51, 4 Si 2.51-2.64
Li (0.8111, 0.1889, 0.0611)  1 Li 2.51, 4 Si 2.51-2.64
Li (0.8111, 0.1889, 0.4389)  1 Li 2.51, 4 Si 2.51-2.64
Ce (0.3435, 0.6565, 0.7500)  6 Si 3.03-3.12, 6 Li 3.05-3.07
Ce (0.4500, 0.5500, 0.2500)  9 Si 3.05-3.17
Ce (0.5500, 0.4500, 0.7500)  9 Si 3.05-3.17
Ce (0.6565, 0.3435, 0.2500)  6 Si 3.03-3.12, 6 Li 3.05-3.07
Si (0.0594, 0.9406, 0.0718)  2 Si 2.36, 1 Li 2.51
Si (0.0594, 0.9406, 0.4282)  2 Si 2.36, 1 Li 2.51
Si (0.2801, 0.7199, 0.2500)  6 Li 2.57-2.64
Si (0.7199, 0.2801, 0.7500)  6 Li 2.57-2.64
Si (0.9406, 0.0594, 0.5718)  2 Si 2.36, 1 Li 2.51
Si (0.9406, 0.0594, 0.9282)  2 Si 2.36, 1 Li 2.51



The following is a DFT calculation (meta-GGA SCAN) of a PBEsol-optimized structure of LiCeSn2.

## Properties
As for the calculated volume: 186.5 Å³/cell. The calculated formation energy is -623.4 meV per atom. The space group is Cmcm, No. 63.

Cell lengths 9.6281, 9.6281, 4.5000 Å; angles 90.00, 90.00, 153.44 degrees
With the nearest neighbours (Å) after each atom.
Fractional positions:
Li (0.1758, 0.8242, 0.7500)  5 Sn 2.47-2.64
Li (0.8242, 0.1758, 0.2500)  5 Sn 2.47-2.64
Ce (0.3938, 0.6062, 0.7500)  10 Sn 3.36-3.58, 4 Li 3.41
Ce (0.6062, 0.3938, 0.2500)  10 Sn 3.36-3.58, 4 Li 3.41
Sn (0.0440, 0.9560, 0.7500)  1 Li 2.47
Sn (0.2492, 0.7508, 0.2500)  4 Li 2.62-2.64
Sn (0.7508, 0.2492, 0.7500)  4 Li 2.62-2.64
Sn (0.9560, 0.0440, 0.2500)  1 Li 2.47



The following is a DFT calculation (meta-GGA SCAN) of a PBEsol-optimized structure of LiCeTl2.

## Properties
As for the calculated volume: 98.1 Å³/cell. The calculated formation energy is -457.4 meV per atom. The space group is Fm-3m, No. 225.

Cell lengths 5.1772, 5.1772, 5.1772 Å; angles 60.00, 60.00, 60.00 degrees
With the nearest neighbours (Å) after each atom.
Fractional positions:
Li (0.0000, 0.0000, 0.0000)  8 Tl 3.17
Ce (0.5000, 0.5000, 0.5000)  8 Tl 3.17
Tl (0.2500, 0.2500, 0.2500)  4 Ce 3.17, 4 Li 3.17
Tl (0.7500, 0.7500, 0.7500)  4 Ce 3.17, 4 Li 3.17



The following is a DFT calculation (meta-GGA SCAN) of a PBEsol-optimized structure of CeLu3.

## Properties
As for the calculated volume: 223.4 Å³/cell. The calculated formation energy is 39.6 meV per atom. The space group is P6_3/mmc, No. 194.

Cell lengths 6.8742, 6.8742, 5.4589 Å; angles 90.00, 90.00, 120.00 degrees
With the nearest neighbours (Å) after each atom.
Fractional positions:
Ce (0.3333, 0.6667, 0.2500)  12 Lu 3.37-3.44
Ce (0.6667, 0.3333, 0.7500)  12 Lu 3.37-3.44
Lu (0.1676, 0.3353, 0.7500)  4 Ce 3.37-3.44, 8 Lu 3.38-3.46
Lu (0.1676, 0.8324, 0.7500)  4 Ce 3.37-3.44, 8 Lu 3.38-3.46
Lu (0.3353, 0.1676, 0.2500)  4 Ce 3.37-3.44, 8 Lu 3.38-3.46
Lu (0.6647, 0.8324, 0.7500)  4 Ce 3.37-3.44, 8 Lu 3.38-3.46
Lu (0.8324, 0.1676, 0.2500)  4 Ce 3.37-3.44, 8 Lu 3.38-3.46
Lu (0.8324, 0.6647, 0.2500)  4 Ce 3.37-3.44, 8 Lu 3.38-3.46



The following is a DFT calculation (meta-GGA SCAN) of a PBEsol-optimized structure of CeLuO3.

## Properties
Its total energy is -27.56 eV/atom. As for the calculated volume: 276.1 Å³/cell. The space group is Pnma, No. 62.

Cell lengths 5.9178, 8.1905, 5.6962 Å; angles 90.00, 90.00, 90.00 degrees
With the nearest neighbours (Å) after each atom.
Fractional positions:
Ce (0.0560, 0.2500, 0.0161)  4 O 2.30-2.44
Ce (0.4440, 0.7500, 0.5161)  4 O 2.30-2.44
Ce (0.5560, 0.2500, 0.4839)  4 O 2.30-2.44
Ce (0.9440, 0.7500, 0.9839)  4 O 2.30-2.44
Lu (0.0000, 0.0000, 0.5000)  6 O 2.17-2.20
Lu (0.0000, 0.5000, 0.5000)  6 O 2.17-2.20
Lu (0.5000, 0.0000, 0.0000)  6 O 2.17-2.20
Lu (0.5000, 0.5000, 0.0000)  6 O 2.17-2.20
O (0.0551, 0.7500, 0.3712)  2 Lu 2.20, 2 Ce 2.30-2.44
O (0.1926, 0.5666, 0.8102)  2 Lu 2.17-2.19, 1 Ce 2.32
O (0.1926, 0.9334, 0.8102)  2 Lu 2.17-2.19, 1 Ce 2.32
O (0.3074, 0.0666, 0.3102)  2 Lu 2.17-2.19, 1 Ce 2.32
O (0.3074, 0.4334, 0.3102)  2 Lu 2.17-2.19, 1 Ce 2.32
O (0.4449, 0.2500, 0.8712)  2 Lu 2.20, 2 Ce 2.30-2.44
O (0.5551, 0.7500, 0.1288)  2 Lu 2.20, 2 Ce 2.30-2.44
O (0.6926, 0.5666, 0.6898)  2 Lu 2.17-2.19, 1 Ce 2.32
O (0.6926, 0.9334, 0.6898)  2 Lu 2.17-2.19, 1 Ce 2.32
O (0.8074, 0.0666, 0.1898)  2 Lu 2.17-2.19, 1 Ce 2.32
O (0.8074, 0.4334, 0.1898)  2 Lu 2.17-2.19, 1 Ce 2.32
O (0.9449, 0.2500, 0.6288)  2 Lu 2.20, 2 Ce 2.30-2.44



The following is a DFT calculation (meta-GGA SCAN) of a PBEsol-optimized structure of Ce2Mg.

## Properties
As for the calculated volume: 142.4 Å³/cell. The calculated formation energy is 15.8 meV per atom. The space group is Cm, No. 8.

Cell lengths 6.1470, 6.1470, 8.4204 Å; angles 111.20, 111.20, 28.85 degrees
With the nearest neighbours (Å) after each atom.
Fractional positions:
Ce (0.0000, 0.0000, 0.0000)  6 Ce 2.98-3.06, 4 Mg 3.26
Ce (0.0012, 0.0012, 0.5017)  6 Ce 3.01-3.06, 4 Mg 3.35-3.36
Ce (0.3670, 0.3670, 0.1790)  6 Ce 2.98-3.06, 2 Mg 3.32
Ce (0.6356, 0.6356, 0.8250)  6 Ce 2.98-3.06, 2 Mg 3.33
Mg (0.3159, 0.3159, 0.6612)  4 Mg 3.00-3.06, 6 Ce 3.26-3.35
Mg (0.6847, 0.6847, 0.3381)  4 Mg 3.00-3.06, 6 Ce 3.26-3.36